Ni6Pt3Rh | PBE | optimized geometry

For the volume, the calculation gives 271.3 Å³/cell. The offset from the most stable computed form comes out at 195.6 meV per atom.

The space group is C2/m (No. 12) and the conventional cell measures 8.627, 4.760 and 7.585 Å, with angles of 90.00, 119.42 and 90.00 degrees. The asymmetric unit holds Ni at (0.143, 0.000, 0.404), Ni at (0.171, 0.243, 0.824), Pt at (0.000, 0.500, 0.500), Pt at (0.099, 0.500, 0.219) and Rh at (0.000, 0.000, 0.000).

Co2IrPd | PBE | optimized geometry

For the volume, the calculation gives 159.6 Å³/cell. The total energy is -6.98 eV per atom.

The space group is R-3m (No. 166, hexagonal axes) and the conventional cell measures 2.6826, 2.6826 and 25.6114 Å, with angles of 90.00, 90.00 and 120.00 degrees. The asymmetric unit holds Co at (0.0000, 0.0000, 0.2489), Ir at (0.0000, 0.0000, 0.5000) and Pd at (0.0000, 0.0000, 0.0000).

Which spin magnetization belongs to each record? In order, 11.5, 13.7 μB/cell.